1.
This record from Alexandria describes an optimized crystal structure of ThSc2O. The functional is PBE.

The structure in POSCAR format:
```
ThSc2O
1.0
-1.949 -1.200 2.046
1.816 -2.458 0.289
4.031 3.682 6.000
Sc Th O
2 1 1
Direct
0.000 0.000 0.174 Sc
0.000 0.000 0.826 Sc
0.500 0.500 0.500 Th
0.500 0.500 0.000 O
```

## Properties
- relative energy among the computed polymorphs (eV/atom) = 0.593
- Fermi-level density of states (states/eV per cell) = 3.6
- total DFT energy (no corrections) (eV per atom) = -7.069
- uncorrected formation energy (eV/atom) = -0.81

***

2.
This record from Alexandria describes an optimized crystal structure of ThSc2O. The functional is PBE.

The structure in POSCAR format:
```
ThSc2O
1.0
-2.994 -1.088 0.885
-0.421 -3.164 0.861
0.525 0.552 8.632
Sc Th O
2 1 1
Direct
0.715 0.715 0.854 Sc
0.285 0.285 0.146 Sc
0.500 0.500 0.500 Th
0.000 0.000 0.000 O
```

## Properties
- relative energy among the computed polymorphs (eV/atom) = 0.000
- Fermi-level density of states (states/eV per cell) = 2.9
- total DFT energy (no corrections) (eV per atom) = -7.662
- uncorrected formation energy (eV/atom) = -1.40

***

3.
This record from Alexandria describes an optimized crystal structure of ThSc2UO8. The functional is PBE.

The structure in POSCAR format:
```
ThSc2UO8
1.0
4.918 0.012 -0.003
0.057 4.920 -0.005
0.004 0.008 7.060
Sc U O Th
2 1 8 1
Direct
0.500 0.500 0.261 Sc
0.500 0.500 0.739 Sc
0.000 0.000 0.000 U
0.708 0.708 0.000 O
0.197 0.803 0.769 O
0.803 0.197 0.769 O
0.803 0.197 0.231 O
0.679 0.679 0.500 O
0.292 0.292 0.000 O
0.197 0.803 0.231 O
0.321 0.321 0.500 O
0.000 0.000 0.500 Th
```

## Properties
- total DFT energy (no corrections) (eV per atom) = -9.320
- uncorrected formation energy (eV/atom) = -3.40

***

4.
This record from Alexandria describes an optimized crystal structure of Sc2Ti4O9. The functional is PBE.

The structure in POSCAR format:
```
Sc2Ti4O9
1.0
2.604 4.510 -0.023
-2.604 4.510 -0.023
0.000 0.074 14.097
O Ti Sc
18 8 4
Direct
0.631 0.347 0.417 O
0.631 0.022 0.917 O
0.000 0.686 0.750 O
0.314 0.686 0.250 O
0.686 0.000 0.250 O
0.347 0.023 0.417 O
0.977 0.653 0.083 O
0.347 0.631 0.917 O
0.023 0.347 0.917 O
0.369 0.978 0.083 O
0.022 0.631 0.417 O
0.314 0.000 0.750 O
0.978 0.369 0.583 O
0.000 0.314 0.250 O
0.653 0.977 0.583 O
0.369 0.653 0.583 O
0.686 0.314 0.750 O
0.653 0.369 0.083 O
0.333 0.333 0.817 Ti
0.667 0.667 0.683 Ti
0.333 0.333 0.317 Ti
0.333 0.333 0.511 Ti
0.667 0.667 0.183 Ti
0.333 0.333 0.011 Ti
0.667 0.667 0.989 Ti
0.667 0.667 0.489 Ti
0.000 0.000 0.854 Sc
0.000 0.000 0.646 Sc
0.000 0.000 0.354 Sc
0.000 0.000 0.146 Sc
```

## Properties
- Fermi-level density of states (states/eV per cell) = 15.3
- total DFT energy (no corrections) (eV per atom) = -8.974
- uncorrected formation energy (eV/atom) = -3.05

***

5.
This record from Alexandria describes an optimized crystal structure of ScTi2O. The functional is PBE.

The structure in POSCAR format:
```
ScTi2O
1.0
-2.139 -1.552 1.497
0.616 -2.766 1.094
1.874 1.741 7.567
Ti O Sc
2 1 1
Direct
0.883 0.883 0.350 Ti
0.117 0.117 0.650 Ti
0.500 0.500 0.500 O
0.000 0.000 0.000 Sc
```

## Properties
- Fermi-level density of states (states/eV per cell) = 4.3
- total DFT energy (no corrections) (eV per atom) = -7.766
- uncorrected formation energy (eV/atom) = -1.00

***

6.
This record from Alexandria describes an optimized crystal structure of Sc4Ti3O12. The functional is PBE.

The structure in POSCAR format:
```
Sc4Ti3O12
1.0
-0.474 -4.654 -3.686
5.751 -0.793 1.888
-2.921 -2.228 4.772
O Ti Sc
12 3 4
Direct
0.321 0.968 0.094 O
0.961 0.109 0.320 O
0.581 0.848 0.408 O
0.813 0.390 0.563 O
0.923 0.686 0.062 O
0.422 0.583 0.823 O
0.033 0.879 0.694 O
0.687 0.058 0.943 O
0.183 0.571 0.430 O
0.570 0.409 0.187 O
0.398 0.183 0.587 O
0.087 0.310 0.916 O
0.635 0.136 0.289 Ti
0.010 0.993 0.995 Ti
0.152 0.334 0.610 Ti
0.386 0.868 0.690 Sc
0.690 0.387 0.864 Sc
0.848 0.672 0.392 Sc
0.299 0.615 0.132 Sc
```

## Properties
- relative energy among the computed polymorphs (eV/atom) = 0.005
- Fermi-level density of states (states/eV per cell) = 0.0
- total DFT energy (no corrections) (eV per atom) = -8.990
- uncorrected formation energy (eV/atom) = -3.28